No. 1
ZrCrSe2 PBE-GGA relaxed; E_form (uncorrected) = -749 meV/atom
1.0
3.599 0.000 0.000
0.000 3.599 0.000
0.000 0.000 6.439
Zr Cr Se
1 1 2
Direct
0.000 0.000 0.000
0.500 0.500 0.287
0.000 0.000 0.412
0.500 0.500 0.859

=====

No. 2
NdZnGe2Rh PBE-GGA relaxed; formation energy = -3.3 eV per formula unit
1.0
-2.070 2.070 5.440
2.070 -2.070 5.440
2.070 2.070 -5.440
Nd Zn Ge Rh
1 1 2 1
Direct
0.000 0.000 0.000
0.250 0.750 0.500
0.383 0.383 0.000
0.617 0.617 0.000
0.750 0.250 0.500

=====

No. 3
TmLuMgGa PBE-GGA relaxed; formation energy = -1.2 eV per formula unit
1.0
0.000 3.593 3.593
3.593 0.000 3.593
3.593 3.593 0.000
Tm Lu Mg Ga
1 1 1 1
Direct
0.000 0.000 0.000
0.500 0.500 0.500
0.750 0.750 0.750
0.250 0.250 0.250

=====

No. 4
Ba2UBeO6 PBE-GGA relaxed; E_form (uncorrected) = -2769 meV/atom
1.0
5.935 0.000 0.000
-2.968 5.140 0.000
0.000 0.000 5.172
Ba U Be O
2 1 1 6
Direct
0.333 0.667 0.337
0.667 0.333 0.663
0.000 0.000 0.000
0.000 0.000 0.500
0.150 0.299 0.727
0.150 0.850 0.727
0.299 0.150 0.273
0.701 0.850 0.727
0.850 0.150 0.273
0.850 0.701 0.273

=====

No. 5
Hf3TaPb PBE-GGA relaxed; formation energy = 4.9 eV per formula unit
1.0
5.137 0.000 0.000
0.000 5.137 0.000
0.000 0.000 5.137
Hf Ta Pb
3 1 1
Direct
0.000 0.000 0.500
0.000 0.500 0.000
0.500 0.000 0.000
0.000 0.000 0.000
0.500 0.500 0.500

=====

No. 6
KLaNi2 PBE-GGA relaxed; formation energy = 1.4 eV per formula unit
1.0
1.968 1.136 8.060
-1.968 1.136 8.060
0.000 -2.273 8.060
K La Ni
1 1 2
Direct
0.000 0.000 0.000
0.500 0.500 0.500
0.233 0.233 0.233
0.767 0.767 0.767

=====

No. 7
ReRhCl2 PBE-GGA relaxed; E_form (uncorrected) = -30 meV/atom
1.0
3.004 0.000 0.000
0.000 3.036 0.000
-1.492 0.000 8.274
Re Rh Cl
1 1 2
Direct
0.000 0.000 0.000
0.589 0.500 0.180
0.194 0.000 0.388
0.889 0.500 0.777

=====

No. 8
V4Ru PBE-GGA relaxed; formation energy = -0.3 eV per formula unit
1.0
0.000 4.301 6.288
2.535 0.000 6.288
2.535 4.301 0.000
V Ru
8 2
Direct
0.026 0.026 0.224
0.176 0.176 0.574
0.224 0.224 0.026
0.426 0.426 0.824
0.574 0.574 0.176
0.776 0.776 0.974
0.824 0.824 0.426
0.974 0.974 0.776
0.375 0.375 0.375
0.625 0.625 0.625

=====

No. 9
YScBeOs PBE-GGA relaxed; formation energy = -0.5 eV per formula unit
1.0
0.000 3.318 3.318
3.318 0.000 3.318
3.318 3.318 0.000
Y Sc Be Os
1 1 1 1
Direct
0.000 0.000 0.000
0.500 0.500 0.500
0.250 0.250 0.250
0.750 0.750 0.750

=====

No. 10
CaBeTl2 PBE-GGA relaxed; formation energy = 1.3 eV per formula unit
1.0
-2.576 2.576 8.638
2.576 -2.576 8.638
2.576 2.576 -8.638
Ca Be Tl
2 2 4
Direct
0.000 0.000 0.000
0.750 0.250 0.500
0.250 0.750 0.500
0.500 0.500 0.000
0.241 0.625 0.116
0.375 0.491 0.616
0.509 0.125 0.884
0.875 0.759 0.384

=====

No. 11
LaNdScAl PBE-GGA relaxed; formation energy = -0.4 eV per formula unit
1.0
0.000 3.822 3.822
3.822 0.000 3.822
3.822 3.822 0.000
La Nd Sc Al
1 1 1 1
Direct
0.000 0.000 0.000
0.500 0.500 0.500
0.750 0.750 0.750
0.250 0.250 0.250

=====

No. 12
Mg2ScSe PBE-GGA relaxed; E_form (uncorrected) = -551 meV/atom
1.0
3.651 0.000 0.000
0.000 3.651 0.000
0.000 0.000 6.906
Mg Sc Se
2 1 1
Direct
0.000 0.000 0.000
0.500 0.500 0.240
0.000 0.000 0.522
0.500 0.500 0.644

=====

| no. | E_tot (eV for the cell shown) |
| --- | --- |
| 1 | -28.138 |
| 2 | -25.950 |
| 3 | -14.848 |
| 4 | -76.303 |
| 5 | -40.508 |
| 6 | -16.208 |
| 7 | -23.612 |
| 8 | -92.054 |
| 9 | -28.273 |
| 10 | -18.412 |
| 11 | -20.135 |
| 12 | -15.207 |